Pm12BiIr6 | PBE | optimized geometry

It has space group Im-3 (No. 204), with a = 10.265 Å, b = 10.265 Å, c = 10.265 Å, α = 90.00°, β = 90.00° and γ = 90.00°. The asymmetric unit holds Pm at (0.000, 0.305, 0.192), Bi at (0.000, 0.000, 0.000) and Ir at (0.000, 0.125, 0.500).

The formation energy from the elements comes out at -556 meV/atom.


La2TlAg | PBE | optimized geometry

It has space group Fm-3m (No. 225), with a = 7.830 Å, b = 7.830 Å, c = 7.830 Å, α = 90.00°, β = 90.00° and γ = 90.00°. The asymmetric unit holds La at (0.250, 0.250, 0.250), Tl at (0.000, 0.000, 0.000) and Ag at (0.000, 0.000, 0.500).

The relative energy among the computed polymorphs comes out at 0 meV per atom. The formation energy from the elements comes out at -342 meV/atom.


Tb3Mn3S8 | PBE | optimized geometry

It has space group R-3m (No. 166, hexagonal axes), with a = 7.7749 Å, b = 7.7749 Å, c = 18.6177 Å, α = 90.00°, β = 90.00° and γ = 120.00°. The asymmetric unit holds Tb at (0.0000, 0.5000, 0.0000), Mn at (0.0000, 0.0000, 0.1232), Mn at (0.0000, 0.0000, 0.5000), S at (0.0000, 0.0000, 0.2516) and S at (0.0177, 0.5088, 0.2441).

The value obtained for the formation energy without anion corrections is -1.3123 eV per atom.


Pu2SiSb | PBE | optimized geometry

It has space group P4/mmm (No. 123), with a = 3.939 Å, b = 3.939 Å, c = 5.933 Å, α = 90.00°, β = 90.00° and γ = 90.00°. The asymmetric unit holds Pu at (0.000, 0.000, 0.233), Si at (0.500, 0.500, 0.000) and Sb at (0.500, 0.500, 0.500).

The relative energy among the computed polymorphs comes out at 0 meV per atom. The value obtained for the formation energy without anion corrections is -0.4621 eV per atom.


| no. | theoretical density (g cm⁻³) |
| --- | --- |
| 1 | 9.53 |
| 2 | 8.16 |
| 3 | 4.59 |
| 4 | 11.51 |